# 1
This record from Alexandria describes an optimized crystal structure of NbAgI6. The functional is PBE-GGA.

```
data_NbAgI6
_chemical_formula_sum 'Nb1 Ag1 I6'
_symmetry_space_group_name_H-M 'P 1'
_symmetry_Int_Tables_number 1
_cell_length_a 7.468
_cell_length_b 7.468
_cell_length_c 7.359
_cell_angle_alpha 100.97
_cell_angle_beta 100.97
_cell_angle_gamma 120.61
loop_
_symmetry_equiv_pos_as_xyz
'x,y,z'
loop_
_atom_site_label
_atom_site_type_symbol
_atom_site_fract_x
_atom_site_fract_y
_atom_site_fract_z
Nb1 Nb 0.000 0.000 0.000
Ag1 Ag 0.500 0.500 0.500
I1 I 0.081 0.393 0.239
I2 I 0.225 0.225 0.777
I3 I 0.393 0.081 0.239
I4 I 0.607 0.919 0.761
I5 I 0.775 0.775 0.223
I6 I 0.919 0.607 0.761
```

Output
- relative energy among the computed polymorphs (eV per formula unit) = 0.18
- total DFT energy (no corrections) (eV/atom) = -3.08
- symmetry = C2/m, No. 12
- E_form (uncorrected) (eV/atom) = -0.30

# 2
This record from Alexandria describes an optimized crystal structure of NbAg3I. The functional is PBE-GGA.

```
data_NbAg3I
_chemical_formula_sum 'Nb1 Ag3 I1'
_symmetry_space_group_name_H-M 'P 1'
_symmetry_Int_Tables_number 1
_cell_length_a 5.363
_cell_length_b 5.363
_cell_length_c 5.363
_cell_angle_alpha 90.00
_cell_angle_beta 90.00
_cell_angle_gamma 90.00
loop_
_symmetry_equiv_pos_as_xyz
'x,y,z'
loop_
_atom_site_label
_atom_site_type_symbol
_atom_site_fract_x
_atom_site_fract_y
_atom_site_fract_z
Nb1 Nb 0.000 0.000 0.000
Ag1 Ag 0.000 0.500 0.500
Ag2 Ag 0.500 0.000 0.500
Ag3 Ag 0.500 0.500 0.000
I1 I 0.500 0.500 0.500
```

Output
- relative energy among the computed polymorphs (eV per formula unit) = 1.13
- total DFT energy (no corrections) (eV/atom) = -2.51
- symmetry = Pm-3m, No. 221
- E_form (uncorrected) (eV/atom) = 1.53

# 3
This record from Alexandria describes an optimized crystal structure of NbAgI. The functional is PBE-GGA.

```
data_NbAgI
_chemical_formula_sum 'Nb2 Ag2 I2'
_symmetry_space_group_name_H-M 'P 1'
_symmetry_Int_Tables_number 1
_cell_length_a 3.414
_cell_length_b 6.479
_cell_length_c 7.452
_cell_angle_alpha 70.67
_cell_angle_beta 77.04
_cell_angle_gamma 89.87
loop_
_symmetry_equiv_pos_as_xyz
'x,y,z'
loop_
_atom_site_label
_atom_site_type_symbol
_atom_site_fract_x
_atom_site_fract_y
_atom_site_fract_z
Nb1 Nb 0.239 0.330 0.033
Nb2 Nb 0.761 0.670 0.967
Ag1 Ag 0.420 0.622 0.646
Ag2 Ag 0.580 0.378 0.354
I1 I 0.371 0.083 0.755
I2 I 0.629 0.917 0.245
```

Output
- total DFT energy (no corrections) (eV/atom) = -4.52
- symmetry = P-1, No. 2
- E_form (uncorrected) (eV/atom) = 0.30

# 4
This record from Alexandria describes an optimized crystal structure of NbAg3I. The functional is PBE-GGA.

```
data_NbAg3I
_chemical_formula_sum 'Nb1 Ag3 I1'
_symmetry_space_group_name_H-M 'P 1'
_symmetry_Int_Tables_number 1
_cell_length_a 5.303
_cell_length_b 5.303
_cell_length_c 5.303
_cell_angle_alpha 90.00
_cell_angle_beta 90.00
_cell_angle_gamma 90.00
loop_
_symmetry_equiv_pos_as_xyz
'x,y,z'
loop_
_atom_site_label
_atom_site_type_symbol
_atom_site_fract_x
_atom_site_fract_y
_atom_site_fract_z
Nb1 Nb 0.000 0.000 0.000
Ag1 Ag 0.000 0.000 0.500
Ag2 Ag 0.000 0.500 0.000
Ag3 Ag 0.500 0.000 0.000
I1 I 0.500 0.500 0.500
```

Output
- relative energy among the computed polymorphs (eV per formula unit) = 0.00
- total DFT energy (no corrections) (eV/atom) = -2.73
- symmetry = Pm-3m, No. 221
- E_form (uncorrected) (eV/atom) = 1.30

# 5
This record from Alexandria describes an optimized crystal structure of NbAg2I. The functional is PBE-GGA.

```
data_NbAg2I
_chemical_formula_sum 'Nb1 Ag2 I1'
_symmetry_space_group_name_H-M 'P 1'
_symmetry_Int_Tables_number 1
_cell_length_a 5.027
_cell_length_b 5.027
_cell_length_c 5.027
_cell_angle_alpha 60.00
_cell_angle_beta 60.00
_cell_angle_gamma 60.00
loop_
_symmetry_equiv_pos_as_xyz
'x,y,z'
loop_
_atom_site_label
_atom_site_type_symbol
_atom_site_fract_x
_atom_site_fract_y
_atom_site_fract_z
Nb1 Nb 0.000 0.000 0.000
Ag1 Ag 0.250 0.250 0.250
Ag2 Ag 0.750 0.750 0.750
I1 I 0.500 0.500 0.500
```

Output
- total DFT energy (no corrections) (eV/atom) = -3.35
- symmetry = Fm-3m, No. 225
- E_form (uncorrected) (eV/atom) = 0.98

# 6
This record from Alexandria describes an optimized crystal structure of NbAgI6. The functional is PBE-GGA.

```
data_NbAgI6
_chemical_formula_sum 'Nb1 Ag1 I6'
_symmetry_space_group_name_H-M 'P 1'
_symmetry_Int_Tables_number 1
_cell_length_a 7.245
_cell_length_b 7.251
_cell_length_c 7.762
_cell_angle_alpha 117.78
_cell_angle_beta 90.02
_cell_angle_gamma 119.96
loop_
_symmetry_equiv_pos_as_xyz
'x,y,z'
loop_
_atom_site_label
_atom_site_type_symbol
_atom_site_fract_x
_atom_site_fract_y
_atom_site_fract_z
Nb1 Nb 0.000 0.000 0.000
Ag1 Ag 0.500 0.000 0.500
I1 I 0.072 0.472 0.242
I2 I 0.230 0.158 0.757
I3 I 0.401 0.170 0.243
I4 I 0.599 0.830 0.757
I5 I 0.770 0.842 0.243
I6 I 0.928 0.528 0.758
```

Output
- relative energy among the computed polymorphs (eV per formula unit) = 0.00
- total DFT energy (no corrections) (eV/atom) = -3.10
- symmetry = P-1, No. 2
- E_form (uncorrected) (eV/atom) = -0.32

# 7
This record from Alexandria describes an optimized crystal structure of Nb2AgI. The functional is PBE-GGA.

```
data_Nb2AgI
_chemical_formula_sum 'Nb2 Ag1 I1'
_symmetry_space_group_name_H-M 'P 1'
_symmetry_Int_Tables_number 1
_cell_length_a 4.772
_cell_length_b 4.772
_cell_length_c 4.772
_cell_angle_alpha 60.00
_cell_angle_beta 60.00
_cell_angle_gamma 60.00
loop_
_symmetry_equiv_pos_as_xyz
'x,y,z'
loop_
_atom_site_label
_atom_site_type_symbol
_atom_site_fract_x
_atom_site_fract_y
_atom_site_fract_z
Nb1 Nb 0.250 0.250 0.250
Nb2 Nb 0.750 0.750 0.750
Ag1 Ag 0.000 0.000 0.000
I1 I 0.500 0.500 0.500
```

Output
- relative energy among the computed polymorphs (eV per formula unit) = 0.00
- total DFT energy (no corrections) (eV/atom) = -5.48
- symmetry = Fm-3m, No. 225
- E_form (uncorrected) (eV/atom) = 0.66

# 8
This record from Alexandria describes an optimized crystal structure of NbAgI2O. The functional is PBE-GGA.

```
data_NbAgI2O
_chemical_formula_sum 'Nb1 Ag1 I2 O1'
_symmetry_space_group_name_H-M 'P 1'
_symmetry_Int_Tables_number 1
_cell_length_a 5.723
_cell_length_b 5.723
_cell_length_c 3.945
_cell_angle_alpha 90.00
_cell_angle_beta 90.00
_cell_angle_gamma 90.00
loop_
_symmetry_equiv_pos_as_xyz
'x,y,z'
loop_
_atom_site_label
_atom_site_type_symbol
_atom_site_fract_x
_atom_site_fract_y
_atom_site_fract_z
Nb1 Nb 0.000 0.000 0.000
Ag1 Ag 0.500 0.500 0.500
I1 I 0.000 0.500 0.500
I2 I 0.500 0.000 0.500
O1 O 0.500 0.500 0.000
```

Output
- relative energy among the computed polymorphs (eV per formula unit) = 5.99
- total DFT energy (no corrections) (eV/atom) = -3.53
- symmetry = P4/mmm, No. 123
- E_form (uncorrected) (eV/atom) = 0.66

Number 1: M_tot 0.018 μB per atom. Number 2: M_tot 0.883 μB per atom. Number 3: M_tot 0.000 μB per atom. Number 4: M_tot 0.000 μB per atom. Number 5: M_tot 0.696 μB per atom. Number 6: M_tot 0.000 μB per atom. Number 7: M_tot 0.000 μB per atom. Number 8: M_tot 0.544 μB per atom.